(1)
LiLaDyCr: optimized geometry, GGA-PBE.

a = 5.213 Å, b = 5.213 Å, c = 5.213 Å
α = 60.00°, β = 60.00°, γ = 60.00°
Last column: magnetic moment on the atom in μB.
Fractional coordinates of all 4 atoms:
1 Cr 0.250 0.250 0.250  -3.31
2 La 0.000 0.000 0.000  0.10
3 Li 0.750 0.750 0.750  0.07
4 Dy 0.500 0.500 0.500  0.18

Values from the calculation:
calculated total energy	-20.22	eV per cell
ΔE_f	0.212	eV/atom

***

(2)
LiDy2Cr: optimized geometry, GGA-PBE.

a = 3.504 Å, b = 3.504 Å, c = 7.857 Å
α = 90.00°, β = 90.00°, γ = 90.00°
Last column: magnetic moment on the atom in μB.
Fractional coordinates of all 4 atoms:
1 Cr 0.500 0.500 0.000  2.77
2 Li 0.500 0.500 0.500  -0.01
3 Dy 0.000 0.000 0.782  -0.13
4 Dy 0.000 0.000 0.218  -0.13

Values from the calculation:
calculated total energy	-19.90	eV per cell
ΔE_f	0.209	eV/atom

***

(3)
LiDyLuCr: optimized geometry, GGA-PBE.

a = 5.022 Å, b = 5.022 Å, c = 5.022 Å
α = 60.00°, β = 60.00°, γ = 60.00°
Last column: magnetic moment on the atom in μB.
Fractional coordinates of all 4 atoms:
1 Cr 0.000 0.000 0.000  3.20
2 Lu 0.250 0.250 0.250  -0.06
3 Li 0.500 0.500 0.500  -0.06
4 Dy 0.750 0.750 0.750  -0.07

Values from the calculation:
calculated total energy	-20.01	eV per cell
ΔE_f	0.164	eV/atom

***

(4)
LiPmDyCr: optimized geometry, GGA-PBE.

a = 5.144 Å, b = 5.144 Å, c = 5.144 Å
α = 60.00°, β = 60.00°, γ = 60.00°
Last column: magnetic moment on the atom in μB.
Fractional coordinates of all 4 atoms:
1 Cr 0.250 0.250 0.250  3.30
2 Pm 0.000 0.000 0.000  -0.12
3 Li 0.750 0.750 0.750  -0.06
4 Dy 0.500 0.500 0.500  -0.14

Values from the calculation:
calculated total energy	-20.12	eV per cell
ΔE_f	0.192	eV/atom

***

(5)
Li3DyCr2S6: optimized geometry, GGA-PBE.

a = 6.276 Å, b = 6.276 Å, c = 6.446 Å
α = 99.36°, β = 99.36°, γ = 120.02°
Last column: magnetic moment on the atom in μB.
Fractional coordinates of all 12 atoms:
1 Li 0.166 0.834 0.500  0.00
2 Li 0.834 0.166 0.500  0.00
3 Li 0.500 0.500 0.500  0.00
4 Dy 0.000 0.000 0.000  0.04
5 Cr 0.333 0.667 0.000  2.88
6 Cr 0.667 0.333 0.000  2.88
7 S 0.923 0.558 0.768  -0.04
8 S 0.714 0.714 0.235  -0.04
9 S 0.077 0.442 0.232  -0.04
10 S 0.558 0.923 0.768  -0.04
11 S 0.286 0.286 0.765  -0.04
12 S 0.442 0.077 0.232  -0.04

Values from the calculation:
calculated total energy	-69.32	eV per cell
uncorrected formation energy	-1.2473	eV/atom

***

(6)
Li3Dy3CrS8: optimized geometry, GGA-PBE.

a = 7.643 Å, b = 7.642 Å, c = 7.555 Å
α = 120.40°, β = 90.00°, γ = 120.00°
Last column: magnetic moment on the atom in μB.
Fractional coordinates of all 15 atoms:
1 Li 0.000 0.000 0.000  0.00
2 Li 0.000 0.500 0.000  0.00
3 Li 0.500 0.500 0.000  0.00
4 Dy 0.500 0.000 0.500  0.01
5 Dy 0.500 0.500 0.500  0.01
6 Dy 0.000 0.500 0.500  0.01
7 Cr 0.000 0.000 0.500  2.42
8 S 0.248 0.496 0.245  -0.03
9 S 0.752 0.504 0.755  -0.03
10 S 0.772 0.545 0.266  -0.06
11 S 0.228 0.455 0.734  -0.06
12 S 0.772 0.994 0.266  -0.06
13 S 0.228 0.006 0.734  -0.06
14 S 0.222 0.994 0.266  -0.06
15 S 0.778 0.006 0.734  -0.06

Values from the calculation:
calculated total energy	-85.12	eV per cell
uncorrected formation energy	-1.5285	eV/atom

***

(7)
Li2DyCrS4: optimized geometry, GGA-PBE.

a = 3.728 Å, b = 6.473 Å, c = 6.367 Å
α = 70.93°, β = 90.00°, γ = 90.00°
Last column: magnetic moment on the atom in μB.
Fractional coordinates of all 8 atoms:
1 Li 0.000 0.000 0.000  -0.01
2 Li 0.500 0.000 0.500  0.01
3 Dy 0.500 0.500 0.000  0.02
4 Cr 0.000 0.500 0.500  2.90
5 S 0.000 0.747 0.728  -0.02
6 S 0.000 0.253 0.272  -0.02
7 S 0.500 0.730 0.284  -0.05
8 S 0.500 0.270 0.716  -0.05

Values from the calculation:
calculated total energy	-45.44	eV per cell
uncorrected formation energy	-1.3602	eV/atom

***

(8)
LiDyScCr: optimized geometry, GGA-PBE.

a = 4.926 Å, b = 4.926 Å, c = 4.926 Å
α = 60.00°, β = 60.00°, γ = 60.00°
Last column: magnetic moment on the atom in μB.
Fractional coordinates of all 4 atoms:
1 Sc 0.250 0.250 0.250  -0.12
2 Cr 0.500 0.500 0.500  3.17
3 Li 0.000 0.000 0.000  -0.06
4 Dy 0.750 0.750 0.750  -0.05

Values from the calculation:
calculated total energy	-21.72	eV per cell
ΔE_f	0.187	eV/atom

***

(9)
LiSmDyCr: optimized geometry, GGA-PBE.

a = 5.129 Å, b = 5.129 Å, c = 5.129 Å
α = 60.00°, β = 60.00°, γ = 60.00°
Last column: magnetic moment on the atom in μB.
Fractional coordinates of all 4 atoms:
1 Cr 0.500 0.500 0.500  3.29
2 Li 0.000 0.000 0.000  -0.07
3 Sm 0.250 0.250 0.250  -0.12
4 Dy 0.750 0.750 0.750  -0.13

Values from the calculation:
calculated total energy	-20.11	eV per cell
ΔE_f	0.188	eV/atom

***

(10)
LiDyThCr: optimized geometry, GGA-PBE.

a = 5.099 Å, b = 5.099 Å, c = 5.099 Å
α = 60.00°, β = 60.00°, γ = 60.00°
Last column: magnetic moment on the atom in μB.
Fractional coordinates of all 4 atoms:
1 Cr 0.750 0.750 0.750  2.92
2 Li 0.250 0.250 0.250  -0.06
3 Th 0.000 0.000 0.000  -0.17
4 Dy 0.500 0.500 0.500  -0.22

Values from the calculation:
calculated total energy	-22.66	eV per cell
ΔE_f	0.226	eV/atom

***

(11)
LiDyTmCr: optimized geometry, GGA-PBE.

a = 5.038 Å, b = 5.038 Å, c = 5.038 Å
α = 60.00°, β = 60.00°, γ = 60.00°
Last column: magnetic moment on the atom in μB.
Fractional coordinates of all 4 atoms:
1 Cr 0.500 0.500 0.500  3.21
2 Tm 0.750 0.750 0.750  -0.07
3 Li 0.000 0.000 0.000  -0.07
4 Dy 0.250 0.250 0.250  -0.08

Values from the calculation:
calculated total energy	-19.95	eV per cell
ΔE_f	0.165	eV/atom

***

(12)
LiDyYCr: optimized geometry, GGA-PBE.

a = 5.087 Å, b = 5.087 Å, c = 5.087 Å
α = 60.00°, β = 60.00°, γ = 60.00°
Last column: magnetic moment on the atom in μB.
Fractional coordinates of all 4 atoms:
1 Y 0.000 0.000 0.000  -0.09
2 Cr 0.750 0.750 0.750  3.26
3 Li 0.250 0.250 0.250  -0.07
4 Dy 0.500 0.500 0.500  -0.10

Values from the calculation:
calculated total energy	-21.91	eV per cell
ΔE_f	0.173	eV/atom